1.
Here is an optimized crystal structure of LiVCuO4 from the Alexandria database. Energies are from PBEsol.

## Properties
- Density: 4.529 g/cm³
- Crystal system: tetragonal
- Electronic total energy: -7.0305 eV/atom

Cell and atoms, written as CIF:
```
data_LiVCuO4
_cell_length_a 5.9869
_cell_length_b 5.9869
_cell_length_c 7.5878
_cell_angle_alpha 90.00
_cell_angle_beta 90.00
_cell_angle_gamma 90.00
_symmetry_space_group_name_H-M 'P 43 2 2'
_symmetry_Int_Tables_number 95
loop_
_symmetry_equiv_pos_as_xyz
'x,y,z'
'-y,x,z+3/4'
'-x,-y,z+1/2'
'y,-x,z+1/4'
'x,-y,-z+1/2'
'-y,-x,-z+3/4'
'-x,y,-z'
'y,x,-z+1/4'
loop_
_atom_site_label
_atom_site_type_symbol
_atom_site_fract_x
_atom_site_fract_y
_atom_site_fract_z
Li1 Li 0.0000 0.2368 0.0000
V1 V 0.2141 0.5000 0.2500
Cu1 Cu 0.2606 0.2606 0.6250
O1 O 0.0319 0.2739 0.2690
O2 O 0.2689 0.4710 0.0096
```

---

2.
Here is an optimized crystal structure of Li2V3CuO8 from the Alexandria database. Energies are from PBEsol.

## Properties
- Density: 4.392 g/cm³
- Crystal system: trigonal
- Electronic total energy: -7.7630 eV/atom

Cell and atoms, written as CIF:
```
data_Li2V3CuO8
_cell_length_a 5.6525
_cell_length_b 5.6525
_cell_length_c 14.6846
_cell_angle_alpha 90.00
_cell_angle_beta 90.00
_cell_angle_gamma 120.00
_symmetry_space_group_name_H-M 'R 3 m'
_symmetry_Int_Tables_number 160
_symmetry_space_group_name_Hall 'R 3 -2"'
loop_
_atom_site_label
_atom_site_type_symbol
_atom_site_fract_x
_atom_site_fract_y
_atom_site_fract_z
Li1 Li 0.0000 0.0000 0.0000
Li2 Li 0.0000 0.0000 0.3740
V1 V 0.9996 0.4998 0.4978
Cu1 Cu 0.0000 0.0000 0.6238
O1 O 0.0000 0.0000 0.2386
O2 O 0.0000 0.0000 0.7556
O3 O 0.0239 0.5120 0.7612
O4 O 0.1795 0.3590 0.5705
```

---

3.
Here is an optimized crystal structure of Li2V3CuO8 from the Alexandria database. Energies are from PBEsol.

## Properties
- Density: 4.327 g/cm³
- Crystal system: monoclinic
- Electronic total energy: -7.7371 eV/atom

Cell and atoms, written as CIF:
```
data_Li2V3CuO8
_cell_length_a 5.6270
_cell_length_b 9.9037
_cell_length_c 9.9117
_cell_angle_alpha 90.00
_cell_angle_beta 95.32
_cell_angle_gamma 90.00
_symmetry_space_group_name_H-M 'C 1 c 1'
_symmetry_Int_Tables_number 9
loop_
_symmetry_equiv_pos_as_xyz
'x,y,z'
'x,-y,z+1/2'
'x+1/2,y+1/2,z'
'x+1/2,-y+1/2,z+1/2'
loop_
_atom_site_label
_atom_site_type_symbol
_atom_site_fract_x
_atom_site_fract_y
_atom_site_fract_z
Li1 Li 0.0000 0.0140 0.0000
Li2 Li 0.4442 0.1712 0.5894
V1 V 0.9995 0.1851 0.7823
V2 V 0.1977 0.4390 0.7769
V3 V 0.2010 0.0880 0.2722
Cu1 Cu 0.4982 0.1794 0.9843
O1 O 0.1766 0.2711 0.6594
O2 O 0.2091 0.2302 0.1708
O3 O 0.2233 0.0969 0.8862
O4 O 0.2515 0.4067 0.3802
O5 O 0.4389 0.0007 0.1726
O6 O 0.4485 0.4836 0.1765
O7 O 0.4745 0.1526 0.3891
O8 O 0.4766 0.3576 0.8850
```

---

4.
Here is an optimized crystal structure of Li2V3CuO8 from the Alexandria database. Energies are from PBEsol.

## Properties
- Density: 4.199 g/cm³
- Crystal system: tetragonal
- Electronic total energy: -7.7386 eV/atom

Cell and atoms, written as CIF:
```
data_Li2V3CuO8
_cell_length_a 8.4172
_cell_length_b 8.4172
_cell_length_c 7.9984
_cell_angle_alpha 90.00
_cell_angle_beta 90.00
_cell_angle_gamma 90.00
_symmetry_space_group_name_H-M 'P 43 21 2'
_symmetry_Int_Tables_number 96
loop_
_symmetry_equiv_pos_as_xyz
'x,y,z'
'-y+1/2,x+1/2,z+3/4'
'-x,-y,z+1/2'
'y+1/2,-x+1/2,z+1/4'
'x+1/2,-y+1/2,-z+1/4'
'-y,-x,-z+1/2'
'-x+1/2,y+1/2,-z+3/4'
'y,x,-z'
loop_
_atom_site_label
_atom_site_type_symbol
_atom_site_fract_x
_atom_site_fract_y
_atom_site_fract_z
Li1 Li 0.0005 0.2515 0.3545
V1 V 0.1279 0.3607 0.7574
V2 V 0.1548 0.8452 0.2500
Cu1 Cu 0.0738 0.0738 0.0000
O1 O 0.0852 0.1466 0.7541
O2 O 0.0896 0.3877 0.9740
O3 O 0.1260 0.6306 0.2550
O4 O 0.1424 0.8425 0.5021
```

---

5.
Here is an optimized crystal structure of LiV4CuO12 from the Alexandria database. Energies are from PBEsol.

## Properties
- Density: 3.328 g/cm³
- Crystal system: monoclinic
- Electronic total energy: -7.9813 eV/atom

Cell and atoms, written as CIF:
```
data_LiV4CuO12
_cell_length_a 9.8333
_cell_length_b 8.6945
_cell_length_c 5.8044
_cell_angle_alpha 90.00
_cell_angle_beta 110.34
_cell_angle_gamma 90.00
_symmetry_space_group_name_H-M 'C 1 2 1'
_symmetry_Int_Tables_number 5
loop_
_symmetry_equiv_pos_as_xyz
'x,y,z'
'-x,y,-z'
'x+1/2,y+1/2,z'
'-x+1/2,y+1/2,-z'
loop_
_atom_site_label
_atom_site_type_symbol
_atom_site_fract_x
_atom_site_fract_y
_atom_site_fract_z
Li1 Li 0.0000 0.0000 0.0000
V1 V 0.2019 0.4984 0.4910
V2 V 0.2110 0.6802 0.0062
Cu1 Cu 0.0000 0.1699 0.5000
O1 O 0.1067 0.1645 0.8555
O2 O 0.1164 0.0006 0.4277
O3 O 0.1335 0.5788 0.1962
O4 O 0.1429 0.3165 0.4720
O5 O 0.1482 0.6082 0.6991
O6 O 0.1606 0.8586 0.0048
```

---

6.
Here is an optimized crystal structure of Li2V3CuO8 from the Alexandria database. Energies are from PBEsol.

## Properties
- Density: 4.307 g/cm³
- Crystal system: trigonal
- Electronic total energy: -7.7190 eV/atom

Cell and atoms, written as CIF:
```
data_Li2V3CuO8
_cell_length_a 5.6693
_cell_length_b 5.6693
_cell_length_c 14.8854
_cell_angle_alpha 90.00
_cell_angle_beta 90.00
_cell_angle_gamma 120.00
_symmetry_space_group_name_H-M 'R -3 m'
_symmetry_Int_Tables_number 166
_symmetry_space_group_name_Hall '-R 3 2"'
loop_
_atom_site_label
_atom_site_type_symbol
_atom_site_fract_x
_atom_site_fract_y
_atom_site_fract_z
Li1 Li 0.0000 0.0000 0.1250
V1 V 0.0000 0.5000 0.0000
Cu1 Cu 0.0000 0.0000 0.5000
O1 O 0.0000 0.0000 0.2601
O2 O 0.0248 0.5124 0.2619
```

---

7.
Here is an optimized crystal structure of LiVCuO4 from the Alexandria database. Energies are from PBEsol.

## Properties
- Density: 4.212 g/cm³
- Crystal system: orthorhombic
- Electronic total energy: -7.0615 eV/atom

Cell and atoms, written as CIF:
```
data_LiVCuO4
_cell_length_a 5.6403
_cell_length_b 8.2782
_cell_length_c 6.2630
_cell_angle_alpha 90.00
_cell_angle_beta 90.00
_cell_angle_gamma 90.00
_symmetry_space_group_name_H-M 'C m c m'
_symmetry_Int_Tables_number 63
_symmetry_space_group_name_Hall '-C 2c 2'
loop_
_atom_site_label
_atom_site_type_symbol
_atom_site_fract_x
_atom_site_fract_y
_atom_site_fract_z
Li1 Li 0.0000 0.1688 0.2500
V1 V 0.0000 0.1500 0.7500
Cu1 Cu 0.0000 0.5000 0.0000
O1 O 0.0000 0.2675 0.5272
O2 O 0.2436 0.0198 0.7500
```

---

What did we get for energy above the lowest structure with this stoichiometry? Answer: 59; 20; 46; 45; 0; 64; 28 meV per atom, in the order shown.
What did we get for formation energy from raw total energies? Answer: -1.75; -2.11; -2.08; -2.08; -1.99; -2.06; -1.79 eV/atom, in the order shown.